# 1
A plane-wave DFT calculation with PBE was carried out for a relaxed structure of Dy5Mg4Hg.

Computed properties:
Formation enthalpy at 0 K = -0.1591 eV/atom

Lattice parameters (Å, degrees): 3.790 3.790 18.678 90.00 90.00 90.00
Fractional coordinates of all 10 atoms:
1 Dy 0.500 0.500 0.097
2 Dy 0.500 0.500 0.298
3 Mg 0.000 0.000 0.399
4 Mg 0.000 0.000 0.601
5 Dy 0.500 0.500 0.500
6 Hg 0.000 0.000 0.000
7 Mg 0.000 0.000 0.199
8 Dy 0.500 0.500 0.702
9 Mg 0.000 0.000 0.801
10 Dy 0.500 0.500 0.903

=====

# 2
A plane-wave DFT calculation with PBE was carried out for a relaxed structure of DyMg4Hg2.

Computed properties:
Formation enthalpy at 0 K = -0.1892 eV/atom
Energy above the lowest structure with this stoichiometry = 36 meV/atom

Lattice parameters (Å, degrees): 4.327 4.358 9.063 103.91 90.00 90.00
Fractional coordinates of all 7 atoms:
1 Hg 0.500 0.420 0.841
2 Mg 0.500 0.182 0.364
3 Mg 0.000 0.316 0.632
4 Dy 0.000 0.000 0.000
5 Mg 0.500 0.818 0.636
6 Hg 0.500 0.580 0.159
7 Mg 0.000 0.684 0.368

=====

# 3
A plane-wave DFT calculation with PBE was carried out for a relaxed structure of DyMg4Hg2.

Computed properties:
Formation enthalpy at 0 K = -0.2256 eV/atom
Energy above the lowest structure with this stoichiometry = 0 meV/atom

Lattice parameters (Å, degrees): 4.600 8.400 8.400 90.00 90.00 90.00
Fractional coordinates of all 14 atoms:
1 Dy 0.000 0.500 0.500
2 Mg 0.500 0.845 0.402
3 Hg 0.000 0.794 0.206
4 Hg 0.500 0.294 0.294
5 Mg 0.000 0.655 0.902
6 Dy 0.500 0.000 0.000
7 Mg 0.000 0.345 0.098
8 Mg 0.500 0.155 0.598
9 Hg 0.500 0.706 0.706
10 Mg 0.500 0.402 0.845
11 Mg 0.500 0.598 0.155
12 Hg 0.000 0.206 0.794
13 Mg 0.000 0.098 0.345
14 Mg 0.000 0.902 0.655

=====

# 4
A plane-wave DFT calculation with PBE was carried out for a relaxed structure of Dy2MgHg3.

Computed properties:
Formation enthalpy at 0 K = -0.4167 eV/atom
Energy above the lowest structure with this stoichiometry = 46 meV/atom

Lattice parameters (Å, degrees): 3.655 3.655 10.875 90.00 90.00 90.00
Fractional coordinates of all 6 atoms:
1 Hg 0.000 0.000 0.000
2 Hg 0.000 0.000 0.346
3 Dy 0.500 0.500 0.174
4 Dy 0.500 0.500 0.826
5 Mg 0.500 0.500 0.500
6 Hg 0.000 0.000 0.654

=====

# 5
A plane-wave DFT calculation with PBE was carried out for a relaxed structure of DyMg3Hg2.

Computed properties:
Formation enthalpy at 0 K = -0.2914 eV/atom
Energy above the lowest structure with this stoichiometry = 0 meV/atom

Lattice parameters (Å, degrees): 4.268 7.629 8.710 90.00 90.00 90.00
Fractional coordinates of all 12 atoms:
1 Hg 0.500 0.261 0.113
2 Hg 0.000 0.242 0.622
3 Mg 0.000 0.466 0.913
4 Dy 0.500 0.031 0.420
5 Mg 0.500 0.138 0.813
6 Hg 0.500 0.761 0.887
7 Mg 0.000 0.966 0.087
8 Mg 0.500 0.638 0.187
9 Mg 0.000 0.863 0.693
10 Dy 0.500 0.531 0.580
11 Hg 0.000 0.742 0.378
12 Mg 0.000 0.363 0.307

=====

# 6
A plane-wave DFT calculation with PBE was carried out for a relaxed structure of DyMgHg2.

Computed properties:
Formation enthalpy at 0 K = -0.3916 eV/atom
Energy above the lowest structure with this stoichiometry = 63 meV/atom

Lattice parameters (Å, degrees): 3.732 5.050 5.050 90.00 90.00 90.00
Fractional coordinates of all 4 atoms:
1 Dy 0.500 0.500 0.500
2 Hg 0.000 0.000 0.500
3 Hg 0.000 0.500 0.000
4 Mg 0.500 0.000 0.000

=====

# 7
A plane-wave DFT calculation with PBE was carried out for a relaxed structure of DyMgHg.

Computed properties:
Formation enthalpy at 0 K = -0.2036 eV/atom

Lattice parameters (Å, degrees): 4.900 4.900 4.900 60.00 60.00 60.00
Fractional coordinates of all 3 atoms:
1 Hg 0.250 0.250 0.250
2 Dy 0.000 0.000 0.000
3 Mg 0.500 0.500 0.500

=====

# 8
A plane-wave DFT calculation with PBE was carried out for a relaxed structure of DyMgHg.

Computed properties:
Formation enthalpy at 0 K = -0.2580 eV/atom

Lattice parameters (Å, degrees): 3.559 3.559 11.749 90.00 90.00 90.00
Fractional coordinates of all 6 atoms:
1 Dy 0.873 0.291 0.147
2 Mg 0.872 0.291 0.838
3 Hg 0.373 0.791 0.976
4 Mg 0.372 0.791 0.674
5 Hg 0.872 0.291 0.536
6 Dy 0.373 0.791 0.365